# 1
Computed, not measured: a relaxed structure of HfCuSN2 at the PBE level of DFT.

a = 3.8017 Å, b = 3.8017 Å, c = 4.3409 Å
α = 90.00°, β = 90.00°, γ = 90.00°
With the nearest neighbours (Å) after each atom.
Fractional coordinates of all 5 atoms:
1 Hf 0.5000 0.5000 0.5000  4 S 2.69, 8 N 2.89
2 S 0.0000 0.0000 0.5000  2 Cu 2.17
3 N 0.0000 0.5000 0.0000  2 Cu 1.90
4 N 0.5000 0.0000 0.0000  2 Cu 1.90
5 Cu 0.0000 0.0000 0.0000  4 N 1.90

Results
M_tot	0.00	μB/f.u.
formation energy from raw total energies	0.692	eV per atom
SG	P4/mmm, No. 123
VASP energy	-6.274	eV/atom

=====

# 2
Computed, not measured: a relaxed structure of HfCuSN2 at the PBE level of DFT.

a = 4.0411 Å, b = 5.3071 Å, c = 4.0411 Å
α = 90.00°, β = 90.00°, γ = 90.00°
With the nearest neighbours (Å) after each atom.
Fractional coordinates of all 5 atoms:
1 S 0.0000 0.5000 0.0000  2 Hf 2.65, 4 Cu 2.86
2 N 0.5000 0.0000 0.0000  2 Hf 2.02
3 N 0.0000 0.0000 0.5000  2 Hf 2.02
4 Hf 0.0000 0.0000 0.0000  4 N 2.02
5 Cu 0.5000 0.5000 0.5000  4 S 2.86

Results
M_tot	0.00	μB/f.u.
formation energy from raw total energies	0.527	eV per atom
SG	P4/mmm, No. 123
VASP energy	-6.438	eV/atom

=====

# 3
Computed, not measured: a relaxed structure of HfSc2CuN at the PBE level of DFT.

a = 4.3542 Å, b = 4.3542 Å, c = 4.3869 Å
α = 90.00°, β = 90.00°, γ = 90.00°
With the nearest neighbours (Å) after each atom.
Fractional coordinates of all 5 atoms:
1 Hf 0.0000 0.0000 0.5000  2 N 2.19
2 Cu 0.5000 0.5000 0.5000  4 Hf 3.08, 8 Sc 3.09
3 Sc 0.5000 0.0000 0.0000  2 N 2.18
4 Sc 0.0000 0.5000 0.0000  2 N 2.18
5 N 0.0000 0.0000 0.0000  4 Sc 2.18, 2 Hf 2.19

Results
M_tot	0.00	μB/f.u.
formation energy from raw total energies	-0.784	eV per atom
SG	P4/mmm, No. 123
VASP energy	-7.791	eV/atom

=====

Question: Which value of VASP energy does entry 1 give?
Answer: -6.274 eV/atom